# Tc3NiAs

A relaxed structure of Tc3NiAs (PBE-GGA, Alexandria).

Summary:
Relative energy among the computed polymorphs, meV/atom: 76
D(E_F), states/eV/f.u.: 7.6
Formation energy, eV per atom: 1.456
V, Å³ per cell: 88.4
Total moment, μB/f.u.: 3.74
Total DFT energy (no corrections), eV per atom: -6.850
Symmetry: No. 221

a b c (Å): 4.4541 4.4541 4.4541
angles (deg): 90.00 90.00 90.00
Atoms (fractional coordinates):
1 Tc 0.0000 0.0000 0.5000
2 Tc 0.0000 0.5000 0.0000
3 Tc 0.5000 0.0000 0.0000
4 Ni 0.0000 0.0000 0.0000
5 As 0.5000 0.5000 0.5000

---

# CeSm2I8

A relaxed structure of CeSm2I8 (PBE-GGA, Alexandria).

Summary:
D(E_F), states/eV/f.u.: 10.1
V, Å³ per cell: 644.7
Total moment, μB/f.u.: 2.01
Raw formation energy, kJ/mol of atoms: -116.6
Total DFT energy (no corrections), eV per atom: -3.734
Symmetry: No. 12

a b c (Å): 9.6015 9.6015 7.3974
angles (deg): 92.86 92.86 71.28
Atoms (fractional coordinates):
1 Ce 0.0000 0.0000 0.0000
2 Sm 0.1854 0.1854 0.6468
3 Sm 0.8146 0.8146 0.3532
4 I 0.1274 0.7130 0.2398
5 I 0.1822 0.1822 0.2374
6 I 0.2870 0.8726 0.7602
7 I 0.3639 0.3639 0.7729
8 I 0.6361 0.6361 0.2271
9 I 0.7130 0.1274 0.2398
10 I 0.8178 0.8178 0.7626
11 I 0.8726 0.2870 0.7602

---

> Which of these has the highest D(E_F)?

CeSm2I8

---

What did the second record say?
# CeSm2I8

A relaxed structure of CeSm2I8 (PBE-GGA, Alexandria).

Summary:
D(E_F), states/eV/f.u.: 10.1
V, Å³ per cell: 644.7
Total moment, μB/f.u.: 2.01
Raw formation energy, kJ/mol of atoms: -116.6
Total DFT energy (no corrections), eV per atom: -3.734
Symmetry: No. 12

a b c (Å): 9.6015 9.6015 7.3974
angles (deg): 92.86 92.86 71.28
Atoms (fractional coordinates):
1 Ce 0.0000 0.0000 0.0000
2 Sm 0.1854 0.1854 0.6468
3 Sm 0.8146 0.8146 0.3532
4 I 0.1274 0.7130 0.2398
5 I 0.1822 0.1822 0.2374
6 I 0.2870 0.8726 0.7602
7 I 0.3639 0.3639 0.7729
8 I 0.6361 0.6361 0.2271
9 I 0.7130 0.1274 0.2398
10 I 0.8178 0.8178 0.7626
11 I 0.8726 0.2870 0.7602

---

> Which of these has the highest V?

CeSm2I8